The following is a DFT calculation (PBE+U) of MnAg4F6 after structural relaxation.

## Properties
raw total energy: -4.098 eV/atom

a b c (Å): 6.729 6.729 7.321
angles (deg): 90.00 90.00 90.00
Fractional coordinates of all 22 atoms:
Mn  0.000  0.000  0.000
Mn  0.500  0.500  0.500
Ag  0.152  0.348  0.250
Ag  0.152  0.348  0.750
Ag  0.348  0.848  0.250
Ag  0.348  0.848  0.750
Ag  0.652  0.152  0.250
Ag  0.652  0.152  0.750
Ag  0.848  0.652  0.250
Ag  0.848  0.652  0.750
F  0.000  0.000  0.284
F  0.000  0.000  0.716
F  0.104  0.697  0.000
F  0.197  0.604  0.500
F  0.303  0.104  0.000
F  0.396  0.197  0.500
F  0.500  0.500  0.216
F  0.500  0.500  0.784
F  0.604  0.803  0.500
F  0.697  0.896  0.000
F  0.803  0.396  0.500
F  0.896  0.303  0.000

The following is a DFT calculation (PBE+U) of Mn2Ag5F12 after structural relaxation.

## Properties
raw total energy: -4.352 eV/atom

a b c (Å): 7.137 7.137 7.698
angles (deg): 107.59 107.59 52.50
Fractional coordinates of all 19 atoms:
Mn  0.249  0.751  0.000
Mn  0.751  0.249  0.000
Ag  0.000  0.000  0.500
Ag  0.292  0.292  0.590
Ag  0.305  0.305  0.193
Ag  0.695  0.695  0.807
Ag  0.708  0.708  0.410
F  0.010  0.010  0.174
F  0.097  0.630  0.434
F  0.104  0.590  0.935
F  0.370  0.903  0.566
F  0.410  0.896  0.065
F  0.492  0.492  0.824
F  0.508  0.508  0.176
F  0.590  0.104  0.935
F  0.630  0.097  0.434
F  0.896  0.410  0.065
F  0.903  0.370  0.566
F  0.990  0.990  0.826